No. 1
KTl3Br4 | PBE-GGA | optimized geometry

CIF file:
```
data_KTl3Br4
_cell_length_a 9.5275
_cell_length_b 13.4529
_cell_length_c 4.7563
_cell_angle_alpha 90.00
_cell_angle_beta 90.00
_cell_angle_gamma 90.00
_symmetry_space_group_name_H-M 'C m m m'
_symmetry_Int_Tables_number 65
_symmetry_space_group_name_Hall '-C 2 2'
loop_
_atom_site_label
_atom_site_type_symbol
_atom_site_fract_x
_atom_site_fract_y
_atom_site_fract_z
_atom_site_occupancy
K1 K 0.0000 0.0000 0.0000 1
Tl1 Tl 0.0000 0.5000 0.0000 1
Tl2 Tl 0.2500 0.2500 0.5000 1
Br1 Br 0.0000 0.2478 0.0000 1
Br2 Br 0.2467 0.0000 0.5000 1
```

The calculation puts the formation energy from raw total energies at -1086 meV per atom. The value obtained for the calculated density is 5.3 g cm⁻³.

=====

No. 2
MnCr2C | PBE-GGA | optimized geometry

CIF file:
```
data_MnCr2C
_cell_length_a 2.8220
_cell_length_b 2.8220
_cell_length_c 18.9707
_cell_angle_alpha 90.00
_cell_angle_beta 90.00
_cell_angle_gamma 120.00
_symmetry_space_group_name_H-M 'R -3 m'
_symmetry_Int_Tables_number 166
_symmetry_space_group_name_Hall '-R 3 2"'
loop_
_atom_site_label
_atom_site_type_symbol
_atom_site_fract_x
_atom_site_fract_y
_atom_site_fract_z
_atom_site_occupancy
Mn1 Mn 0.0000 0.0000 0.0000 1
Cr1 Cr 0.0000 0.0000 0.2234 1
C1 C 0.0000 0.0000 0.5000 1
```

Its calculated formation energy is 0.0551 eV/atom. The value obtained for the calculated density is 6.5 g cm⁻³.

=====

No. 3
Al3GaRu | PBE-GGA | optimized geometry

CIF file:
```
data_Al3GaRu
_cell_length_a 4.7397
_cell_length_b 4.7397
_cell_length_c 4.7397
_cell_angle_alpha 90.00
_cell_angle_beta 90.00
_cell_angle_gamma 90.00
_symmetry_space_group_name_H-M 'P m -3 m'
_symmetry_Int_Tables_number 221
_symmetry_space_group_name_Hall '-P 4 2 3'
loop_
_atom_site_label
_atom_site_type_symbol
_atom_site_fract_x
_atom_site_fract_y
_atom_site_fract_z
_atom_site_occupancy
Al1 Al 0.0000 0.0000 0.5000 1
Ga1 Ga 0.5000 0.5000 0.5000 1
Ru1 Ru 0.0000 0.0000 0.0000 1
```

Its energy relative to the lowest polymorph listed for this composition is 0 meV per atom. Its calculated formation energy is -0.0127 eV/atom. The value obtained for the calculated density is 3.9 g cm⁻³.